(1)
A relaxed ZrTe2CI crystal. Source: Alexandria, functional PBE.

POSCAR file:
```
ZrTe2CI
1.0
5.6071 0.0000 0.0000
0.0000 5.6071 0.0000
0.0000 0.0000 5.7434
Te C Zr I
2 1 1 1
Direct
0.0000 0.5000 0.0000
0.5000 0.0000 0.0000
0.5000 0.5000 0.5000
0.0000 0.0000 0.0000
0.0000 0.0000 0.5000
```

**Space-group type**: No. 123
**Formation energy from raw total energies**: 112 kJ per mole of atoms
**DOS at the Fermi energy**: 6.7 states/eV/cell



(2)
A relaxed ZrTe2CI crystal. Source: Alexandria, functional PBE.

POSCAR file:
```
ZrTe2CI
1.0
-0.9786 -4.6835 0.2600
1.7712 -0.6149 -4.4096
4.4256 -0.8197 1.8919
Te Zr C I
2 1 1 1
Direct
0.5000 0.0000 0.0000
0.0000 0.5000 0.0000
0.5000 0.5000 0.5000
0.0000 0.0000 0.0000
0.0000 0.0000 0.5000
```

**Space-group type**: No. 123
**Formation energy from raw total energies**: 84 kJ per mole of atoms
**DOS at the Fermi energy**: 4.4 states/eV/cell



(3)
A relaxed Th2CI2 crystal. Source: Alexandria, functional PBE.

POSCAR file:
```
Th2CI2
1.0
-0.3290 -2.0727 -3.5618
6.6950 -3.0029 1.1289
-6.0601 -7.4724 7.3073
Th I C
4 4 2
Direct
0.1853 0.8764 0.3705
0.3128 0.5749 0.6257
0.6872 0.4251 0.3743
0.8147 0.1236 0.6295
0.4142 0.2961 0.8284
0.5858 0.7039 0.1716
0.9045 0.8083 0.8090
0.0955 0.1917 0.1910
0.7872 0.4059 0.5744
0.2128 0.5941 0.4256
```

**Space-group type**: No. 12
**Formation energy from raw total energies**: -71 kJ per mole of atoms
**DOS at the Fermi energy**: 4.9 states/eV/cell



(4)
A relaxed Th2CI2 crystal. Source: Alexandria, functional PBE.

POSCAR file:
```
Th2CI2
1.0
3.8900 0.0000 0.7194
1.8785 3.4064 0.7194
-0.4840 -0.2858 13.4931
I Th C
2 2 1
Direct
0.2410 0.2410 0.2771
0.7590 0.7590 0.7229
0.3674 0.3674 0.8978
0.6326 0.6326 0.1022
0.0000 0.0000 0.0000
```

**Space-group type**: No. 166
**Formation energy from raw total energies**: -89 kJ per mole of atoms
**DOS at the Fermi energy**: 0.7 states/eV/cell



(5)
A relaxed Th6CI15 crystal. Source: Alexandria, functional PBE.

POSCAR file:
```
Th6CI15
1.0
-10.1113 -2.5851 -1.5386
6.1545 -6.2088 -5.9043
2.4472 -1.2814 10.1812
I Th C
15 6 1
Direct
0.5000 0.0000 0.5000
0.5073 0.2537 0.2537
0.2537 0.2537 0.5073
0.7463 0.0000 0.2537
0.4927 0.7463 0.7463
0.0000 0.7463 0.2537
0.7463 0.7463 0.4927
0.2537 0.5073 0.2537
0.2537 0.0000 0.7463
0.7463 0.2537 0.0000
0.0000 0.5000 0.5000
0.5000 0.5000 0.0000
0.2537 0.7463 0.0000
0.0000 0.2537 0.7463
0.7463 0.4927 0.7463
0.7787 0.0000 0.7787
0.0000 0.7787 0.7787
0.0000 0.2213 0.2213
0.2213 0.2213 0.0000
0.7787 0.7787 0.0000
0.2213 0.0000 0.2213
0.0000 0.0000 0.0000
```

**Space-group type**: No. 229
**Formation energy from raw total energies**: -105 kJ per mole of atoms
**DOS at the Fermi energy**: 13.0 states/eV/cell



(6)
A relaxed Th2CI3 crystal. Source: Alexandria, functional PBE.

POSCAR file:
```
Th2CI3
1.0
-2.2710 3.4763 0.2553
-5.5563 -1.7867 8.7987
5.1286 5.2395 8.1753
I C Th
6 2 4
Direct
0.0308 0.1703 0.7681
0.2186 0.1859 0.3769
0.7814 0.8141 0.6231
0.3288 0.3325 0.0098
0.9692 0.8297 0.2319
0.6712 0.6675 0.9902
0.5742 0.5052 0.3464
0.4258 0.4948 0.6536
0.8714 0.4885 0.7687
0.1286 0.5115 0.2313
0.5668 0.3273 0.5392
0.4332 0.6727 0.4608
```

**Space-group type**: No. 12
**Formation energy from raw total energies**: -96 kJ per mole of atoms
**DOS at the Fermi energy**: 3.9 states/eV/cell



(7)
A relaxed TmThCI crystal. Source: Alexandria, functional PBE.

POSCAR file:
```
TmThCI
1.0
3.7280 -0.0029 0.0003
-1.8656 3.2309 0.0000
-1.8616 -1.0746 7.7420
Th Tm C I
1 1 1 1
Direct
0.0833 0.9398 0.0383
0.5206 0.1582 0.6939
0.2937 0.5448 0.8540
0.9804 0.3881 0.3835
```

**Space-group type**: No. 160
**Formation energy from raw total energies**: -67 kJ per mole of atoms
**DOS at the Fermi energy**: 0.9 states/eV/cell



(8)
A relaxed YThCI crystal. Source: Alexandria, functional PBE.

POSCAR file:
```
YThCI
1.0
3.7775 -0.0026 -0.0001
-1.8902 3.2741 0.0002
-1.8872 -1.0891 7.7587
Y Th C I
1 1 1 1
Direct
0.5190 0.1574 0.6916
0.0823 0.9393 0.0368
0.2993 0.5476 0.8625
0.9773 0.3865 0.3787
```

**Space-group type**: No. 160
**Formation energy from raw total energies**: -67 kJ per mole of atoms
**DOS at the Fermi energy**: 1.0 states/eV/cell



(9)
A relaxed Ti2C2I crystal. Source: Alexandria, functional PBE.

POSCAR file:
```
Ti2C2I
1.0
3.8164 0.0000 0.0000
0.0000 3.8164 0.0000
1.9082 1.9082 6.3724
C Ti I
2 2 1
Direct
0.7500 0.2500 0.5000
0.2500 0.7500 0.5000
0.3047 0.3047 0.3906
0.6953 0.6953 0.6094
0.0000 0.0000 0.0000
```

**Space-group type**: No. 139
**Formation energy from raw total energies**: 2 kJ per mole of atoms
**DOS at the Fermi energy**: 1.1 states/eV/cell



(10)
A relaxed Ti2CI crystal. Source: Alexandria, functional PBE.

POSCAR file:
```
Ti2CI
1.0
5.4594 0.0000 0.0000
0.0000 5.4594 0.0000
2.7297 2.7297 5.3099
I C Ti
2 2 4
Direct
0.0000 0.0000 0.0000
0.7500 0.2500 0.5000
0.5000 0.5000 0.0000
0.2500 0.7500 0.5000
0.3750 0.4930 0.7500
0.5070 0.1250 0.2500
0.8750 0.7570 0.7500
0.2430 0.6250 0.2500
```

**Space-group type**: No. 122
**Formation energy from raw total energies**: 0 kJ per mole of atoms
**DOS at the Fermi energy**: 4.1 states/eV/cell



(11)
A relaxed TiC2I crystal. Source: Alexandria, functional PBE.

POSCAR file:
```
TiC2I
1.0
5.1564 0.0000 0.0000
0.0000 5.1564 0.0000
2.5782 2.5782 5.1382
C I Ti
4 2 2
Direct
0.3750 0.4388 0.7500
0.1888 0.6250 0.2500
0.8750 0.8112 0.7500
0.5612 0.1250 0.2500
0.7500 0.2500 0.5000
0.0000 0.0000 0.0000
0.2500 0.7500 0.5000
0.5000 0.5000 0.0000
```

**Space-group type**: No. 122
**Formation energy from raw total energies**: 139 kJ per mole of atoms
**DOS at the Fermi energy**: 6.4 states/eV/cell



(12)
A relaxed TiC2I2 crystal. Source: Alexandria, functional PBE.

POSCAR file:
```
TiC2I2
1.0
-5.4898 3.4744 -1.3138
-2.6612 -5.3145 -2.9342
-5.1899 -1.7383 0.3686
I C Ti
2 2 1
Direct
0.7500 0.2500 0.5000
0.2500 0.7500 0.5000
0.3876 0.3876 0.2248
0.6124 0.6124 0.7752
0.0000 0.0000 0.0000
```

**Space-group type**: No. 139
**Formation energy from raw total energies**: 90 kJ per mole of atoms
**DOS at the Fermi energy**: 2.8 states/eV/cell